DFT (PBE) results for crystalline MgSbTe2Br at its relaxed geometry.

a = 5.6522 Å, b = 5.6522 Å, c = 5.5423 Å
α = 90.00°, β = 90.00°, γ = 90.00°
With the nearest neighbours (Å) after each atom.
Space group P4/mmm (No. 123)
Unique sites:
1 Mg 0.0000 0.0000 0.0000 x1  8 Te 3.96, 4 Sb 4.00
2 Sb 0.5000 0.5000 0.0000 x1  2 Br 2.77
3 Te 0.0000 0.5000 0.5000 x2  2 Br 2.83
4 Br 0.5000 0.5000 0.5000 x1  2 Sb 2.77, 4 Te 2.83

Output
energy relative to the lowest polymorph listed for this composition = 429 meV per atom
ΔE_f (raw) = 0.711 eV per atom
E = -10.1 eV/cell